A relaxed AcPr2Dy5Er crystal, computed with GGA-PBE.

```
data_AcPr2Dy5Er
_chemical_formula_sum 'Ac4 Pr8 Dy20 Er4'
_cell_length_a 8.8522
_cell_length_b 8.8522
_cell_length_c 15.7063
_cell_angle_alpha 90.00
_cell_angle_beta 90.00
_cell_angle_gamma 90.00
_symmetry_space_group_name_H-M 'I 4/m c m'
_symmetry_Int_Tables_number 140
_symmetry_space_group_name_Hall '-I 4 2c'
loop_
_atom_site_label
_atom_site_type_symbol
_atom_site_fract_x
_atom_site_fract_y
_atom_site_fract_z
Ac1 Ac 0.0000 0.0000 0.2500
Pr1 Pr 0.1176 0.3824 0.0000
Dy1 Dy 0.0000 0.0000 0.0000
Dy2 Dy 0.2073 0.2927 0.3654
Er1 Er 0.0000 0.5000 0.2500
```

Properties
- Final energy: -155.58 eV per cell


A relaxed NdCF crystal, computed with GGA-PBE.

```
data_NdCF
_chemical_formula_sum 'Nd2 C2 F2'
_cell_length_a 3.8833
_cell_length_b 4.0780
_cell_length_c 6.8713
_cell_angle_alpha 97.25
_cell_angle_beta 90.22
_cell_angle_gamma 117.62
_symmetry_space_group_name_H-M 'P -1'
_symmetry_Int_Tables_number 2
loop_
_symmetry_equiv_pos_as_xyz
'x,y,z'
'-x,-y,-z'
loop_
_atom_site_label
_atom_site_type_symbol
_atom_site_fract_x
_atom_site_fract_y
_atom_site_fract_z
Nd1 Nd 0.1610 0.3244 0.2284
C1 C 0.4304 0.8618 0.0555
F1 F 0.1853 0.3661 0.6010
```

Properties
- Raw formation energy: -1.917 eV per atom
- Polymorph energy (0 for the lowest one): 0 meV per atom


A relaxed Y8Pt crystal, computed with GGA-PBE.

```
data_Y8Pt
_chemical_formula_sum 'Y16 Pt2'
_cell_length_a 11.9495
_cell_length_b 11.9495
_cell_length_c 3.7451
_cell_angle_alpha 90.00
_cell_angle_beta 90.00
_cell_angle_gamma 90.00
_symmetry_space_group_name_H-M 'I 4/m m m'
_symmetry_Int_Tables_number 139
_symmetry_space_group_name_Hall '-I 4 2'
loop_
_atom_site_label
_atom_site_type_symbol
_atom_site_fract_x
_atom_site_fract_y
_atom_site_fract_z
Y1 Y 0.0000 0.3357 0.0000
Y2 Y 0.1458 0.1458 0.5000
Pt1 Pt 0.0000 0.0000 0.0000
```

Properties
- Final energy: -118.38 eV per cell


A relaxed Ba2HfBi crystal, computed with GGA-PBE.

```
data_Ba2HfBi
_chemical_formula_sum 'Ba8 Hf4 Bi4'
_cell_length_a 9.6566
_cell_length_b 9.6566
_cell_length_c 6.4855
_cell_angle_alpha 90.00
_cell_angle_beta 90.00
_cell_angle_gamma 90.00
_symmetry_space_group_name_H-M 'I -4 2 d'
_symmetry_Int_Tables_number 122
_symmetry_space_group_name_Hall 'I -4 2bw'
loop_
_atom_site_label
_atom_site_type_symbol
_atom_site_fract_x
_atom_site_fract_y
_atom_site_fract_z
Ba1 Ba 0.2334 0.7500 0.1250
Hf1 Hf 0.0000 0.0000 0.5000
Bi1 Bi 0.0000 0.0000 0.0000
```

Properties
- Final energy: -64.61 eV per cell


A relaxed Cd3In12Bi5 crystal, computed with GGA-PBE.

```
data_Cd3In12Bi5
_chemical_formula_sum 'Cd24 In96 Bi40'
_cell_length_a 17.6076
_cell_length_b 17.6076
_cell_length_c 17.6076
_cell_angle_alpha 90.00
_cell_angle_beta 90.00
_cell_angle_gamma 90.00
_symmetry_space_group_name_H-M 'I a -3 d'
_symmetry_Int_Tables_number 230
_symmetry_space_group_name_Hall '-I 4bd 2c 3'
loop_
_atom_site_label
_atom_site_type_symbol
_atom_site_fract_x
_atom_site_fract_y
_atom_site_fract_z
Cd1 Cd 0.0000 0.2500 0.1250
In1 In 0.0174 0.0875 0.6519
Bi1 Bi 0.0000 0.0000 0.0000
Bi2 Bi 0.0000 0.2500 0.3750
```

Properties
- Final energy: -420.21 eV per cell


A relaxed SrGa3Sn crystal, computed with GGA-PBE.

```
data_SrGa3Sn
_chemical_formula_sum 'Sr1 Ga3 Sn1'
_cell_length_a 4.5030
_cell_length_b 5.0619
_cell_length_c 6.3657
_cell_angle_alpha 113.28
_cell_angle_beta 110.65
_cell_angle_gamma 90.01
_symmetry_space_group_name_H-M 'P 1'
_symmetry_Int_Tables_number 1
loop_
_symmetry_equiv_pos_as_xyz
'x,y,z'
loop_
_atom_site_label
_atom_site_type_symbol
_atom_site_fract_x
_atom_site_fract_y
_atom_site_fract_z
Sr1 Sr 0.0000 0.0000 0.0000
Ga1 Ga 0.2700 0.7684 0.5410
Ga2 Ga 0.3636 0.3614 0.7284
Ga3 Ga 0.7439 0.2430 0.4874
Sn1 Sn 0.6174 0.6175 0.2339
```

Properties
- Polymorph energy (0 for the lowest one): 0 meV per atom


A relaxed KNb2H crystal, computed with GGA-PBE.

```
data_KNb2H
_chemical_formula_sum 'K4 Nb8 H4'
_cell_length_a 6.5881
_cell_length_b 6.5881
_cell_length_c 6.5881
_cell_angle_alpha 90.00
_cell_angle_beta 90.00
_cell_angle_gamma 90.00
_symmetry_space_group_name_H-M 'F m -3 m'
_symmetry_Int_Tables_number 225
_symmetry_space_group_name_Hall '-F 4 2 3'
loop_
_atom_site_label
_atom_site_type_symbol
_atom_site_fract_x
_atom_site_fract_y
_atom_site_fract_z
K1 K 0.0000 0.0000 0.0000
Nb1 Nb 0.2500 0.2500 0.2500
H1 H 0.0000 0.0000 0.5000
```

Properties
- Polymorph energy (0 for the lowest one): 1380 meV per atom


A relaxed MgInW2 crystal, computed with GGA-PBE.

```
data_MgInW2
_chemical_formula_sum 'Mg4 In4 W8'
_cell_length_a 6.5395
_cell_length_b 6.5395
_cell_length_c 6.5395
_cell_angle_alpha 90.00
_cell_angle_beta 90.00
_cell_angle_gamma 90.00
_symmetry_space_group_name_H-M 'F -4 3 m'
_symmetry_Int_Tables_number 216
_symmetry_space_group_name_Hall 'F -4 2 3'
loop_
_atom_site_label
_atom_site_type_symbol
_atom_site_fract_x
_atom_site_fract_y
_atom_site_fract_z
Mg1 Mg 0.0000 0.0000 0.0000
In1 In 0.2500 0.2500 0.2500
W1 W 0.0000 0.0000 0.5000
W2 W 0.2500 0.2500 0.7500
```

Properties
- Polymorph energy (0 for the lowest one): 153 meV per atom


A relaxed Al2AuBr2 crystal, computed with GGA-PBE.

```
data_Al2AuBr2
_chemical_formula_sum 'Al4 Au2 Br4'
_cell_length_a 7.2345
_cell_length_b 7.2345
_cell_length_c 5.0104
_cell_angle_alpha 90.00
_cell_angle_beta 90.00
_cell_angle_gamma 90.00
_symmetry_space_group_name_H-M 'P 4/m b m'
_symmetry_Int_Tables_number 127
_symmetry_space_group_name_Hall '-P 4 2ab'
loop_
_atom_site_label
_atom_site_type_symbol
_atom_site_fract_x
_atom_site_fract_y
_atom_site_fract_z
Al1 Al 0.2401 0.2599 0.0000
Au1 Au 0.0000 0.0000 0.0000
Br1 Br 0.1709 0.3291 0.5000
```

Properties
- Raw formation energy: -0.289 eV per atom
- Polymorph energy (0 for the lowest one): 0 meV per atom


A relaxed Pm3Ge4Pt7 crystal, computed with GGA-PBE.

```
data_Pm3Ge4Pt7
_chemical_formula_sum 'Pm6 Ge8 Pt14'
_cell_length_a 15.8963
_cell_length_b 4.1549
_cell_length_c 9.6997
_cell_angle_alpha 90.00
_cell_angle_beta 125.24
_cell_angle_gamma 90.00
_symmetry_space_group_name_H-M 'C 1 2/m 1'
_symmetry_Int_Tables_number 12
loop_
_symmetry_equiv_pos_as_xyz
'x,y,z'
'-x,-y,-z'
'-x,y,-z'
'x,-y,z'
'x+1/2,y+1/2,z'
'-x+1/2,-y+1/2,-z'
'-x+1/2,y+1/2,-z'
'x+1/2,-y+1/2,z'
loop_
_atom_site_label
_atom_site_type_symbol
_atom_site_fract_x
_atom_site_fract_y
_atom_site_fract_z
Pm1 Pm 0.0000 0.0000 0.0000
Pm2 Pm 0.1722 0.5000 0.6688
Ge1 Ge 0.1110 0.0000 0.8255
Ge2 Ge 0.1688 0.5000 0.2725
Pt1 Pt 0.0000 0.0000 0.5000
Pt2 Pt 0.0095 0.5000 0.2717
Pt3 Pt 0.1655 0.0000 0.4219
Pt4 Pt 0.1925 0.5000 0.0374
```

Properties
- Final energy: -176.03 eV per cell


A relaxed LuBrCl crystal, computed with GGA-PBE.

```
data_LuBrCl
_chemical_formula_sum 'Lu1 Br1 Cl1'
_cell_length_a 3.7053
_cell_length_b 3.7053
_cell_length_c 7.3722
_cell_angle_alpha 90.00
_cell_angle_beta 90.00
_cell_angle_gamma 120.00
_symmetry_space_group_name_H-M 'P 3 m 1'
_symmetry_Int_Tables_number 156
loop_
_symmetry_equiv_pos_as_xyz
'x,y,z'
'-y,x-y,z'
'-x+y,-x,z'
'-y,-x,z'
'-x+y,y,z'
'x,x-y,z'
loop_
_atom_site_label
_atom_site_type_symbol
_atom_site_fract_x
_atom_site_fract_y
_atom_site_fract_z
Lu1 Lu 0.0000 0.0000 0.0000
Br1 Br 0.3333 0.6667 0.7553
Cl1 Cl 0.6667 0.3333 0.2192
```

Properties
- Raw formation energy: -1.639 eV per atom


A relaxed Pu2ZnPdO8 crystal, computed with GGA-PBE.

```
data_Pu2ZnPdO8
_chemical_formula_sum 'Pu4 Zn2 Pd2 O16'
_cell_length_a 6.6375
_cell_length_b 6.6375
_cell_length_c 7.2905
_cell_angle_alpha 90.00
_cell_angle_beta 90.00
_cell_angle_gamma 90.00
_symmetry_space_group_name_H-M 'I -4 m 2'
_symmetry_Int_Tables_number 119
_symmetry_space_group_name_Hall 'I -4 -2'
loop_
_atom_site_label
_atom_site_type_symbol
_atom_site_fract_x
_atom_site_fract_y
_atom_site_fract_z
Pu1 Pu 0.0000 0.0000 0.0000
Pu2 Pu 0.0000 0.5000 0.2500
Zn1 Zn 0.0000 0.0000 0.5000
Pd1 Pd 0.0000 0.5000 0.7500
O1 O 0.0000 0.1937 0.2914
O2 O 0.0000 0.3104 0.9654
```

Properties
- Raw formation energy: -1.741 eV per atom


A relaxed Co2HgBr crystal, computed with GGA-PBE.

```
data_Co2HgBr
_chemical_formula_sum 'Co4 Hg2 Br2'
_cell_length_a 3.7004
_cell_length_b 3.7004
_cell_length_c 10.8339
_cell_angle_alpha 90.00
_cell_angle_beta 90.00
_cell_angle_gamma 90.00
_symmetry_space_group_name_H-M 'I -4 m 2'
_symmetry_Int_Tables_number 119
_symmetry_space_group_name_Hall 'I -4 -2'
loop_
_atom_site_label
_atom_site_type_symbol
_atom_site_fract_x
_atom_site_fract_y
_atom_site_fract_z
Co1 Co 0.0000 0.0000 0.0000
Co2 Co 0.0000 0.5000 0.2500
Hg1 Hg 0.0000 0.5000 0.7500
Br1 Br 0.0000 0.0000 0.5000
```

Properties
- Raw formation energy: 0.810 eV per atom
- Polymorph energy (0 for the lowest one): 468 meV per atom


A relaxed MnV3Tc4 crystal, computed with GGA-PBE.

```
data_MnV3Tc4
_chemical_formula_sum 'Mn1 V3 Tc4'
_cell_length_a 3.0282
_cell_length_b 3.0282
_cell_length_c 12.0247
_cell_angle_alpha 90.00
_cell_angle_beta 90.00
_cell_angle_gamma 90.00
_symmetry_space_group_name_H-M 'P 4/m m m'
_symmetry_Int_Tables_number 123
_symmetry_space_group_name_Hall '-P 4 2'
loop_
_atom_site_label
_atom_site_type_symbol
_atom_site_fract_x
_atom_site_fract_y
_atom_site_fract_z
Mn1 Mn 0.0000 0.0000 0.0000
V1 V 0.0000 0.0000 0.2480
V2 V 0.0000 0.0000 0.5000
Tc1 Tc 0.5000 0.5000 0.1259
Tc2 Tc 0.5000 0.5000 0.3744
```

Properties
- Final energy: -79.92 eV per cell


A relaxed Sr2Mg3Al crystal, computed with GGA-PBE.

```
data_Sr2Mg3Al
_chemical_formula_sum 'Sr8 Mg12 Al4'
_cell_length_a 6.2827
_cell_length_b 6.2827
_cell_length_c 20.4287
_cell_angle_alpha 90.00
_cell_angle_beta 90.00
_cell_angle_gamma 120.00
_symmetry_space_group_name_H-M 'P 63/m m c'
_symmetry_Int_Tables_number 194
_symmetry_space_group_name_Hall '-P 6c 2c'
loop_
_atom_site_label
_atom_site_type_symbol
_atom_site_fract_x
_atom_site_fract_y
_atom_site_fract_z
Sr1 Sr 0.0000 0.0000 0.0971
Sr2 Sr 0.3333 0.6667 0.1550
Mg1 Mg 0.0000 0.5000 0.0000
Mg2 Mg 0.1687 0.3374 0.7500
Al1 Al 0.3333 0.6667 0.6294
```

Properties
- Polymorph energy (0 for the lowest one): 2 meV per atom


A relaxed NdPbS2 crystal, computed with GGA-PBE.

```
data_NdPbS2
_chemical_formula_sum 'Nd3 Pb3 S6'
_cell_length_a 3.9751
_cell_length_b 3.9751
_cell_length_c 22.7655
_cell_angle_alpha 90.00
_cell_angle_beta 90.00
_cell_angle_gamma 120.00
_symmetry_space_group_name_H-M 'R 3 m'
_symmetry_Int_Tables_number 160
_symmetry_space_group_name_Hall 'R 3 -2"'
loop_
_atom_site_label
_atom_site_type_symbol
_atom_site_fract_x
_atom_site_fract_y
_atom_site_fract_z
Nd1 Nd 0.0000 0.0000 0.0000
Pb1 Pb 0.0000 0.0000 0.1657
S1 S 0.0000 0.0000 0.5886
S2 S 0.0000 0.0000 0.7438
```

Properties
- Raw formation energy: -1.165 eV per atom
- Polymorph energy (0 for the lowest one): 101 meV per atom


A relaxed Y2CrIr crystal, computed with GGA-PBE.

```
data_Y2CrIr
_chemical_formula_sum 'Y6 Cr3 Ir3'
_cell_length_a 3.9851
_cell_length_b 3.9851
_cell_length_c 23.3004
_cell_angle_alpha 90.00
_cell_angle_beta 90.00
_cell_angle_gamma 120.00
_symmetry_space_group_name_H-M 'R -3 m'
_symmetry_Int_Tables_number 166
_symmetry_space_group_name_Hall '-R 3 2"'
loop_
_atom_site_label
_atom_site_type_symbol
_atom_site_fract_x
_atom_site_fract_y
_atom_site_fract_z
Y1 Y 0.0000 0.0000 0.2326
Cr1 Cr 0.0000 0.0000 0.0000
Ir1 Ir 0.0000 0.0000 0.5000
```

Properties
- Final energy: -93.17 eV per cell


A relaxed RbZnW3 crystal, computed with GGA-PBE.

```
data_RbZnW3
_chemical_formula_sum 'Rb1 Zn1 W3'
_cell_length_a 4.8112
_cell_length_b 4.8112
_cell_length_c 4.8112
_cell_angle_alpha 90.00
_cell_angle_beta 90.00
_cell_angle_gamma 90.00
_symmetry_space_group_name_H-M 'P m -3 m'
_symmetry_Int_Tables_number 221
_symmetry_space_group_name_Hall '-P 4 2 3'
loop_
_atom_site_label
_atom_site_type_symbol
_atom_site_fract_x
_atom_site_fract_y
_atom_site_fract_z
Rb1 Rb 0.0000 0.0000 0.0000
Zn1 Zn 0.5000 0.5000 0.5000
W1 W 0.0000 0.5000 0.5000
```

Properties
- Polymorph energy (0 for the lowest one): 0 meV per atom


A relaxed BaHg2Bi2Sb crystal, computed with GGA-PBE.

```
data_BaHg2Bi2Sb
_chemical_formula_sum 'Ba2 Hg4 Bi4 Sb2'
_cell_length_a 5.9667
_cell_length_b 5.9667
_cell_length_c 12.6056
_cell_angle_alpha 90.00
_cell_angle_beta 90.00
_cell_angle_gamma 90.00
_symmetry_space_group_name_H-M 'I 4/m m m'
_symmetry_Int_Tables_number 139
_symmetry_space_group_name_Hall '-I 4 2'
loop_
_atom_site_label
_atom_site_type_symbol
_atom_site_fract_x
_atom_site_fract_y
_atom_site_fract_z
Ba1 Ba 0.0000 0.0000 0.0000
Hg1 Hg 0.0000 0.0000 0.2708
Bi1 Bi 0.0000 0.5000 0.2500
Sb1 Sb 0.0000 0.0000 0.5000
```

Properties
- Raw formation energy: 0.004 eV per atom


A relaxed TaReTc2 crystal, computed with GGA-PBE.

```
data_TaReTc2
_chemical_formula_sum 'Ta2 Re2 Tc4'
_cell_length_a 3.1839
_cell_length_b 4.4730
_cell_length_c 8.7548
_cell_angle_alpha 90.00
_cell_angle_beta 90.00
_cell_angle_gamma 90.00
_symmetry_space_group_name_H-M 'C m m 2'
_symmetry_Int_Tables_number 35
loop_
_symmetry_equiv_pos_as_xyz
'x,y,z'
'-x,-y,z'
'-x,y,z'
'x,-y,z'
'x+1/2,y+1/2,z'
'-x+1/2,-y+1/2,z'
'-x+1/2,y+1/2,z'
'x+1/2,-y+1/2,z'
loop_
_atom_site_label
_atom_site_type_symbol
_atom_site_fract_x
_atom_site_fract_y
_atom_site_fract_z
Ta1 Ta 0.0000 0.0000 0.0000
Re1 Re 0.0000 0.5000 0.7429
Tc1 Tc 0.0000 0.0000 0.4974
Tc2 Tc 0.0000 0.5000 0.2533
```

Properties
- Polymorph energy (0 for the lowest one): 148 meV per atom


A relaxed Li6SeSBr2 crystal, computed with GGA-PBE.

```
data_Li6SeSBr2
_chemical_formula_sum 'Li12 Se2 S2 Br4'
_cell_length_a 11.3766
_cell_length_b 6.6185
_cell_length_c 6.5718
_cell_angle_alpha 90.00
_cell_angle_beta 124.83
_cell_angle_gamma 90.00
_symmetry_space_group_name_H-M 'C 1 2/m 1'
_symmetry_Int_Tables_number 12
loop_
_symmetry_equiv_pos_as_xyz
'x,y,z'
'-x,-y,-z'
'-x,y,-z'
'x,-y,z'
'x+1/2,y+1/2,z'
'-x+1/2,-y+1/2,-z'
'-x+1/2,y+1/2,-z'
'x+1/2,-y+1/2,z'
loop_
_atom_site_label
_atom_site_type_symbol
_atom_site_fract_x
_atom_site_fract_y
_atom_site_fract_z
Li1 Li 0.0768 0.2452 0.3343
Li2 Li 0.2424 0.0000 0.8722
Se1 Se 0.0000 0.5000 0.0000
S1 S 0.0000 0.0000 0.5000
Br1 Br 0.2505 0.0000 0.2798
```

Properties
- Raw formation energy: -1.320 eV per atom


Total moment for the records above, in order: 0.000, 0.000, 0.000, 0.000, 0.000, 0.000, 0.000, 0.000, 0.000, 0.000, 0.000, 11.882, 7.465, 2.203, 0.000, 2.017, 14.708, 0.000, 0.000, 0.000, 0.000 μB/cell